# Mn3Te4I2

A relaxed Mn3Te4I2 crystal (PBE-GGA, Alexandria).

Cell and atoms, written as extended XYZ:
```
9
Lattice="-1.155 -1.941 -3.116 -0.109 -1.677 3.462 -25.517 9.273 3.685" Properties=species:S:1:pos:R:3 pbc="T T T"
I -1.727 0.627 0.249
I -23.790 8.646 3.435
Te -17.938 4.372 1.551
Te -9.193 1.194 0.288
Te -6.175 0.098 -0.148
Te -20.956 5.469 1.987
Mn -0.807 -1.853 -0.923
Mn -6.875 2.499 0.993
Mn -18.642 6.775 2.692
```

Results
- DFT total energy: -4.951 eV/atom
- E_form (uncorrected): -1.39 eV per formula unit